Entry 1:
Entry from the Alexandria database: crystalline ScIr2W at its relaxed geometry (PBE).

Computed properties:
* uncorrected energy: -0.689 Ry/atom
* E_form: -12 kJ/mol of atoms
* E above lowest polymorph: 398 meV/atom
* size of the total moment: 0.00 μB/cell

Unit cell a=3.3033 b=3.3033 c=6.0843 alpha=90.00 beta=90.00 gamma=90.00
Space group P4mm (No. 99)
Symmetry-distinct sites (fractional):
Sc 0.0000 0.0000 0.0000 [1 per cell]
Ir 0.0000 0.0000 0.4951 [1 per cell]
Ir 0.5000 0.5000 0.7798 [1 per cell]
W 0.5000 0.5000 0.3069 [1 per cell]



Entry 2:
Entry from the Alexandria database: crystalline ScIrW at its relaxed geometry (PBE).

Computed properties:
* uncorrected energy: -0.698 Ry/atom
* E_form: -11 kJ/mol of atoms
* E above lowest polymorph: 138 meV/atom
* size of the total moment: 0.00 μB/cell

Unit cell a=4.5091 b=4.5091 c=2.8387 alpha=90.00 beta=90.00 gamma=120.00
Space group P3m1 (No. 156)
Symmetry-distinct sites (fractional):
Sc 0.0000 0.0000 0.0000 [1 per cell]
Ir 0.6667 0.3333 0.6245 [1 per cell]
W 0.3333 0.6667 0.3760 [1 per cell]



Entry 3:
Entry from the Alexandria database: crystalline ScIrW2 at its relaxed geometry (PBE).

Computed properties:
* uncorrected energy: -0.759 Ry/atom
* E_form: -6 kJ/mol of atoms
* E above lowest polymorph: 127 meV/atom
* size of the total moment: 0.00 μB/cell

Unit cell a=5.3597 b=9.1843 c=2.8049 alpha=90.00 beta=108.43 gamma=90.00
Space group C2/m (No. 12)
Symmetry-distinct sites (fractional):
Sc 0.0000 0.0000 0.0000 [2 per cell]
Ir 0.0000 0.5000 0.0000 [2 per cell]
W 0.2500 0.2500 0.5000 [4 per cell]



Entry 4:
Entry from the Alexandria database: crystalline Sc2IrW at its relaxed geometry (PBE).

Computed properties:
* uncorrected energy: -0.637 Ry/atom
* E_form: -5 kJ/mol of atoms
* size of the total moment: 0.00 μB/cell

Unit cell a=3.0152 b=3.0152 c=27.1642 alpha=90.00 beta=90.00 gamma=120.00
Space group R-3m (No. 166, hexagonal axes)
Symmetry-distinct sites (fractional):
Sc 0.0000 0.0000 0.2454 [6 per cell]
Ir 0.0000 0.0000 0.5000 [3 per cell]
W 0.0000 0.0000 0.0000 [3 per cell]



Entry 5:
Entry from the Alexandria database: crystalline ScIrW2 at its relaxed geometry (PBE).

Computed properties:
* uncorrected energy: -0.753 Ry/atom
* E_form: 3 kJ/mol of atoms
* E above lowest polymorph: 221 meV/atom
* size of the total moment: 0.00 μB/cell

Unit cell a=2.8030 b=2.8030 c=8.5721 alpha=90.00 beta=90.00 gamma=90.00
Space group P4/mmm (No. 123)
Symmetry-distinct sites (fractional):
Sc 0.0000 0.0000 0.0000 [1 per cell]
Ir 0.0000 0.0000 0.5000 [1 per cell]
W 0.5000 0.5000 0.2739 [2 per cell]



Entry 6:
Entry from the Alexandria database: crystalline ScIr2W at its relaxed geometry (PBE).

Computed properties:
* uncorrected energy: -0.710 Ry/atom
* E_form: -39 kJ/mol of atoms
* E above lowest polymorph: 120 meV/atom
* size of the total moment: 0.00 μB/cell

Unit cell a=4.7344 b=4.7344 c=2.8794 alpha=90.00 beta=90.00 gamma=90.00
Space group P4/mmm (No. 123)
Symmetry-distinct sites (fractional):
Sc 0.0000 0.0000 0.0000 [1 per cell]
Ir 0.0000 0.5000 0.5000 [2 per cell]
W 0.5000 0.5000 0.0000 [1 per cell]



Entry 7:
Entry from the Alexandria database: crystalline ScIrW2 at its relaxed geometry (PBE).

Computed properties:
* uncorrected energy: -0.761 Ry/atom
* E_form: -7 kJ/mol of atoms
* E above lowest polymorph: 113 meV/atom
* size of the total moment: 0.00 μB/cell

Unit cell a=3.8121 b=3.8121 c=9.1754 alpha=90.00 beta=90.00 gamma=90.00
Space group I4/mmm (No. 139)
Symmetry-distinct sites (fractional):
Sc 0.0000 0.0000 0.0000 [2 per cell]
Ir 0.0000 0.0000 0.5000 [2 per cell]
W 0.0000 0.5000 0.2500 [4 per cell]



Entry 8:
Entry from the Alexandria database: crystalline ScIr2W at its relaxed geometry (PBE).

Computed properties:
* uncorrected energy: -0.692 Ry/atom
* E_form: -16 kJ/mol of atoms
* E above lowest polymorph: 356 meV/atom
* size of the total moment: 0.00 μB/cell

Unit cell a=2.8986 b=2.8986 c=26.6054 alpha=90.00 beta=90.00 gamma=120.00
Space group R-3m (No. 166, hexagonal axes)
Symmetry-distinct sites (fractional):
Sc 0.0000 0.0000 0.0000 [3 per cell]
Ir 0.0000 0.0000 0.2483 [6 per cell]
W 0.0000 0.0000 0.5000 [3 per cell]